1.
# SrTlCl (SCAN, PBEsol geometry)
# Space group ... F-43m (216)
# Energy relative to the elements, uncorrected ... -742 meV/atom
data_SrTlCl
_space_group_name_H-M_alt 'P 1'
_space_group_IT_number 1
_cell_length_a 5.2857
_cell_length_b 5.2857
_cell_length_c 5.2857
_cell_angle_alpha 60.00
_cell_angle_beta 60.00
_cell_angle_gamma 60.00
loop_
_space_group_symop_operation_xyz
'x,y,z'
loop_
_atom_site_label
_atom_site_fract_x
_atom_site_fract_y
_atom_site_fract_z
Tl1 0.0000 0.0000 0.0000
Sr1 0.2500 0.2500 0.2500
Cl1 0.5000 0.5000 0.5000


2.
# Cd2HgPb (SCAN, PBEsol geometry)
# Energy ... -51.12 eV per atom
# Space group ... C2/m (12)
data_Cd2HgPb
_space_group_name_H-M_alt 'P 1'
_space_group_IT_number 1
_cell_length_a 3.4329
_cell_length_b 6.2138
_cell_length_c 6.2138
_cell_angle_alpha 120.22
_cell_angle_beta 105.19
_cell_angle_gamma 105.19
loop_
_space_group_symop_operation_xyz
'x,y,z'
loop_
_atom_site_label
_atom_site_fract_x
_atom_site_fract_y
_atom_site_fract_z
Pb1 0.5000 0.0000 0.0000
Cd1 0.0000 0.5000 0.0000
Hg1 0.5000 0.5000 0.5000
Cd2 0.0000 0.0000 0.5000


3.
# Bi2Te2W3O16 (SCAN, PBEsol geometry)
# Space group ... C2/c (15)
# Energy relative to the elements, uncorrected ... -1755 meV/atom
data_Bi2Te2W3O16
_space_group_name_H-M_alt 'P 1'
_space_group_IT_number 1
_cell_length_a 5.5437
_cell_length_b 10.9427
_cell_length_c 11.5078
_cell_angle_alpha 69.24
_cell_angle_beta 76.06
_cell_angle_gamma 75.33
loop_
_space_group_symop_operation_xyz
'x,y,z'
loop_
_atom_site_label
_atom_site_fract_x
_atom_site_fract_y
_atom_site_fract_z
W1 0.2312 0.7893 0.4641
O1 0.3929 0.2856 0.6221
Bi1 0.9031 0.4016 0.1635
W2 0.8636 0.7500 0.2500
Bi2 0.4682 0.0984 0.3365
O2 0.6071 0.7144 0.3779
O3 0.9306 0.8586 0.5314
O4 0.8035 0.2033 0.8771
O5 0.4203 0.8982 0.4914
O6 0.0039 0.5679 0.2556
W3 0.5155 0.2893 0.9641
W4 0.4845 0.7107 0.0359
O7 0.6995 0.7856 0.1221
Te1 0.7060 0.5353 0.6526
O8 0.6806 0.3517 0.3969
O9 0.7278 0.0567 0.7053
O10 0.1161 0.7033 0.3771
O11 0.2722 0.9433 0.2947
Te2 0.2940 0.4647 0.3474
O12 0.4292 0.1483 0.1031
O13 0.2964 0.3323 0.2766
O14 0.1726 0.0679 0.7556
W5 0.7688 0.2107 0.5359
Bi3 0.0969 0.5984 0.8365
O15 0.3206 0.6414 0.9686
O16 0.5708 0.8517 0.8969
Te3 0.8938 0.9647 0.8474
O17 0.3005 0.2144 0.8779
Bi4 0.5318 0.9016 0.6635
O18 0.0946 0.8323 0.7766
O19 0.7036 0.6677 0.7234
Te4 0.1062 0.0353 0.1526
W6 0.1364 0.2500 0.7500
O20 0.9054 0.1677 0.2234
O21 0.5797 0.1018 0.5086
O22 0.0694 0.1414 0.4686
O23 0.1900 0.3982 0.9914
O24 0.5102 0.5567 0.2053
O25 0.8274 0.9321 0.2444
O26 0.8099 0.6018 0.0086
O27 0.1965 0.7967 0.1229
O28 0.4898 0.4433 0.7947
O29 0.9961 0.4321 0.7444
O30 0.8839 0.2967 0.6229
O31 0.6794 0.3586 0.0314
O32 0.3194 0.6483 0.6031


4.
# LaBe2AuF (SCAN, PBEsol geometry)
# Space group ... P4/mmm (123)
# Energy relative to the elements, uncorrected ... 1164 meV/atom
data_LaBe2AuF
_space_group_name_H-M_alt 'P 1'
_space_group_IT_number 1
_cell_length_a 5.5057
_cell_length_b 5.8096
_cell_length_c 5.8096
_cell_angle_alpha 90.00
_cell_angle_beta 90.00
_cell_angle_gamma 90.00
loop_
_space_group_symop_operation_xyz
'x,y,z'
loop_
_atom_site_label
_atom_site_fract_x
_atom_site_fract_y
_atom_site_fract_z
La1 0.0000 0.0000 0.0000
Be1 0.0000 0.0000 0.5000
F1 0.5000 0.5000 0.5000
Au1 0.5000 0.0000 0.0000
Be2 0.0000 0.5000 0.0000


5.
# BiCSe2O (SCAN, PBEsol geometry)
# Space group ... P4/mmm (123)
# Energy relative to the elements, uncorrected ... 1508 meV/atom
data_BiCSe2O
_space_group_name_H-M_alt 'P 1'
_space_group_IT_number 1
_cell_length_a 4.2299
_cell_length_b 4.2299
_cell_length_c 5.0230
_cell_angle_alpha 90.00
_cell_angle_beta 90.00
_cell_angle_gamma 90.00
loop_
_space_group_symop_operation_xyz
'x,y,z'
loop_
_atom_site_label
_atom_site_fract_x
_atom_site_fract_y
_atom_site_fract_z
C1 0.5000 0.5000 0.5000
O1 0.0000 0.0000 0.0000
Se1 0.0000 0.5000 0.0000
Bi1 0.0000 0.0000 0.5000
Se2 0.5000 0.0000 0.0000


6.
# CrTc (SCAN, PBEsol geometry)
# Energy ... -26.47 eV per atom
# Space group ... R-3m (166)
data_CrTc
_space_group_name_H-M_alt 'P 1'
_space_group_IT_number 1
_cell_length_a 2.6861
_cell_length_b 2.6861
_cell_length_c 8.3450
_cell_angle_alpha 80.74
_cell_angle_beta 80.74
_cell_angle_gamma 60.00
loop_
_space_group_symop_operation_xyz
'x,y,z'
loop_
_atom_site_label
_atom_site_fract_x
_atom_site_fract_y
_atom_site_fract_z
Cr1 0.8695 0.8695 0.3914
Cr2 0.1305 0.1305 0.6086
Tc1 0.6208 0.6208 0.1375
Tc2 0.3792 0.3792 0.8625


Q: Number 1 is which compound?
A: SrTlCl